# 1
Computed, not measured: a relaxed structure of ZrVBiN2 at the PBE level of DFT.

Summary:
- formation energy without anion corrections (kJ/mol of atoms) = 50
- D(E_F) (states/eV per atom) = 0.6645

Cell lengths 3.965, 3.965, 5.385 Å; angles 90.00, 90.00, 90.00 degrees
Space group P4/mmm (No. 123)
Unique sites:
Zr 0.000 0.000 0.000 [1 per cell]
V 0.500 0.500 0.500 [1 per cell]
Bi 0.500 0.500 0.000 [1 per cell]
N 0.000 0.500 0.500 [2 per cell]

# 2
Computed, not measured: a relaxed structure of Hg2OsCl at the PBE level of DFT.

Summary:
- relative energy among the computed polymorphs (meV per atom) = 570
- formation energy without anion corrections (kJ/mol of atoms) = 102
- D(E_F) (states/eV per atom) = 0.4428

Cell lengths 5.035, 5.035, 17.908 Å; angles 90.00, 90.00, 90.00 degrees
Space group I-42d (No. 122)
Unique sites:
Hg 0.171 0.250 0.125 [8 per cell]
Os 0.000 0.000 0.000 [4 per cell]
Cl 0.000 0.000 0.500 [4 per cell]

# 3
Computed, not measured: a relaxed structure of CdCoAg2 at the PBE level of DFT.

Summary:
- formation energy (kJ/mol of atoms) = 27.98
- D(E_F) (states/eV per atom) = 1.1899

Cell lengths 4.087, 4.087, 8.078 Å; angles 90.00, 90.00, 90.00 degrees
Space group I4/mmm (No. 139)
Unique sites:
Cd 0.000 0.000 0.000 [2 per cell]
Co 0.000 0.000 0.500 [2 per cell]
Ag 0.000 0.500 0.250 [4 per cell]

# 4
Computed, not measured: a relaxed structure of PuTe2Pt at the PBE level of DFT.

Summary:
- formation energy without anion corrections (kJ/mol of atoms) = -10
- D(E_F) (states/eV per atom) = 2.9760

Cell lengths 3.9190, 3.9190, 27.7403 Å; angles 90.00, 90.00, 120.00 degrees
Space group R-3m (No. 166, hexagonal axes)
Unique sites:
Pu 0.0000 0.0000 0.0000 [3 per cell]
Te 0.0000 0.0000 0.1129 [6 per cell]
Pt 0.0000 0.0000 0.5000 [3 per cell]

# 5
Computed, not measured: a relaxed structure of Pu2Ga3Si at the PBE level of DFT.

Summary:
- relative energy among the computed polymorphs (meV per atom) = 0
- formation energy without anion corrections (kJ/mol of atoms) = -36
- D(E_F) (states/eV per atom) = 1.8800

Cell lengths 4.4885, 4.4885, 13.6537 Å; angles 90.00, 90.00, 120.00 degrees
Space group P6_3/mmc (No. 194)
Unique sites:
Pu 0.0000 0.0000 0.1271 [4 per cell]
Ga 0.3333 0.6667 0.0076 [4 per cell]
Ga 0.3333 0.6667 0.2500 [2 per cell]
Si 0.3333 0.6667 0.7500 [2 per cell]

# 6
Computed, not measured: a relaxed structure of NdPOs at the PBE level of DFT.

Summary:
- formation energy (kJ/mol of atoms) = -70.63
- D(E_F) (states/eV per atom) = 0.3727

Cell lengths 7.828, 7.828, 3.955 Å; angles 90.00, 90.00, 90.00 degrees
Space group P4_2/m (No. 84)
Unique sites:
Nd 0.062 0.711 0.000 [4 per cell]
P 0.189 0.417 0.500 [4 per cell]
Os 0.358 0.397 0.000 [4 per cell]

# 7
Computed, not measured: a relaxed structure of ScVSn2 at the PBE level of DFT.

Summary:
- relative energy among the computed polymorphs (meV per atom) = 216
- formation energy (kJ/mol of atoms) = 7.86
- D(E_F) (states/eV per atom) = 0.5850

Cell lengths 7.642, 7.642, 6.073 Å; angles 90.00, 90.00, 90.00 degrees
Space group I-42d (No. 122)
Unique sites:
Sc 0.000 0.000 0.000 [4 per cell]
V 0.000 0.000 0.500 [4 per cell]
Sn 0.227 0.250 0.625 [8 per cell]

# 8
Computed, not measured: a relaxed structure of Th8GaTe4Ir3 at the PBE level of DFT.

Summary:
- formation energy without anion corrections (kJ/mol of atoms) = -97
- D(E_F) (states/eV per atom) = 0.9428

Cell lengths 8.5299, 8.5299, 22.7367 Å; angles 90.00, 90.00, 120.00 degrees
Space group R-3m (No. 166, hexagonal axes)
Unique sites:
Th 0.0000 0.0000 0.2347 [6 per cell]
Th 0.0112 0.5056 0.7643 [18 per cell]
Ga 0.0000 0.0000 0.5000 [3 per cell]
Te 0.0000 0.0000 0.0000 [3 per cell]
Te 0.0000 0.5000 0.0000 [9 per cell]
Ir 0.0000 0.5000 0.5000 [9 per cell]